First-principles (PBE-GGA) data for CuSb2Pd8 after structural relaxation, as listed in Alexandria.

As for the crystal system: orthorhombic. For the magnetic moment, the calculation gives 0.0 Bohr magnetons per cell. As for the relative energy among the computed polymorphs: 0.000 eV per atom. For the energy relative to the elements, uncorrected, the calculation gives -3.5 eV per formula unit. As for the volume: 365.2 Å³/cell.

The structure belongs to space group Immm (No. 71); the cell edges are 4.2142, 7.4123 and 11.6919 Å and the angles 90.00°, 90.00° and 90.00°. The asymmetric unit holds Cu at (0.0000, 0.0000, 0.0000), Sb at (0.0000, 0.0000, 0.3092), Pd at (0.0000, 0.2005, 0.5000), Pd at (0.0000, 0.2710, 0.1570) and Pd at (0.0000, 0.5000, 0.3590).